Compound: Pm3AsSCl
Source: Alexandria via LeMat-Bulk
Functional: GGA-PBE
Structure: relaxed

VASP energy in eV per atom: -5.7123
Formation energy from raw total energies in eV/atom: -1.566

Unit cell a=8.2377 b=3.9973 c=10.1845 alpha=90.00 beta=109.10 gamma=90.00
With the nearest neighbours (Å) after each atom.
Space group P2_1/m (No. 11)
Inequivalent atoms, fractional coordinates:
Pm 0.0308 0.2500 0.3235  3 S 2.79-2.83, 2 As 3.07, 1 Cl 3.12
Pm 0.2225 0.2500 0.0518  2 Cl 2.87, 2 As 3.09
Pm 0.4088 0.7500 0.6118  2 S 2.78, 3 As 3.03-3.05
As 0.3002 0.7500 0.2956  7 Pm 3.03-3.09
S 0.1747 0.2500 0.6129  5 Pm 2.78-2.83
Cl 0.3355 0.7500 0.8981  4 Pm 2.87-3.17



Compound: Pm6As3S2Cl
Source: Alexandria via LeMat-Bulk
Functional: GGA-PBE
Structure: relaxed

VASP energy in eV per atom: -6.0995
Formation energy from raw total energies in eV/atom: -1.720

Unit cell a=18.0825 b=4.1628 c=8.2885 alpha=90.00 beta=102.48 gamma=90.00
With the nearest neighbours (Å) after each atom.
Space group C2/m (No. 12)
Inequivalent atoms, fractional coordinates:
Pm 0.0030 0.0000 0.2670  3 As 2.85-2.92, 1 S 2.89, 2 Cl 3.03
Pm 0.1688 0.5000 0.5822  3 S 2.91-2.93, 3 As 2.97-2.98
Pm 0.1747 0.5000 0.0918  3 As 2.88-2.95, 2 S 2.90, 1 Cl 3.09
As 0.0000 0.5000 0.5000  6 Pm 2.85-2.98
As 0.1623 0.0000 0.8349  6 Pm 2.88-2.97
S 0.1663 0.0000 0.3317  6 Pm 2.89-2.93
Cl 0.0000 0.5000 0.0000  6 Pm 3.03-3.09



Compound: Pm3SbAsCl
Source: Alexandria via LeMat-Bulk
Functional: GGA-PBE
Structure: relaxed

VASP energy in eV per atom: -5.4461
Formation energy from raw total energies in eV/atom: -1.301

Unit cell a=8.6225 b=4.3308 c=9.5690 alpha=90.00 beta=102.57 gamma=90.00
With the nearest neighbours (Å) after each atom.
Space group P2_1/m (No. 11)
Inequivalent atoms, fractional coordinates:
Pm 0.0757 0.2500 0.3481  3 As 2.91-2.96, 2 Sb 3.19
Pm 0.2227 0.2500 0.9906  2 Cl 2.80, 1 As 3.10
Pm 0.3933 0.7500 0.6313  1 Cl 2.75, 2 As 3.01
Sb 0.3197 0.7500 0.2780  7 Pm 3.19-3.46
As 0.1604 0.2500 0.6596  6 Pm 2.91-3.10
Cl 0.3957 0.7500 0.9196  3 Pm 2.75-2.80, 2 Cl 3.01



Question: Look up the formation energy from raw total energies of the second one.
Answer: -1.720 eV/atom